Model P:
UV2Ge: optimized geometry, GGA-PBE.

Cell: 4.289 4.289 3.401 Å, 90.00 90.00 90.00°
Space group P4/mmm (No. 123)
Inequivalent atoms, fractional coordinates:
U  0.000  0.000  0.000 (multiplicity 1)
V  0.000  0.500  0.500 (multiplicity 2)
Ge  0.500  0.500  0.000 (multiplicity 1)

***

Model Q:
UV2Ge: optimized geometry, GGA-PBE.

Cell: 6.300 6.300 6.300 Å, 90.00 90.00 90.00°
Space group Fm-3m (No. 225)
Inequivalent atoms, fractional coordinates:
U  0.000  0.000  0.000 (multiplicity 4)
V  0.250  0.250  0.250 (multiplicity 8)
Ge  0.000  0.000  0.500 (multiplicity 4)

***

Quick one: least stable of them? model Q

***

Model P:
V5Ge: optimized geometry, GGA-PBE.

Cell: 4.155 12.389 3.149 Å, 90.00 90.00 90.00°
Space group Cmmm (No. 65)
Inequivalent atoms, fractional coordinates:
V  0.000  0.000  0.000 (multiplicity 2)
V  0.000  0.161  0.500 (multiplicity 4)
V  0.000  0.327  0.000 (multiplicity 4)
Ge  0.000  0.500  0.500 (multiplicity 2)

***

Model Q:
V5Ge: optimized geometry, GGA-PBE.

Cell: 4.282 8.847 4.295 Å, 90.00 90.00 90.00°
Space group Cmmm (No. 65)
Inequivalent atoms, fractional coordinates:
V  0.000  0.000  0.000 (multiplicity 2)
V  0.000  0.172  0.500 (multiplicity 4)
V  0.000  0.328  0.000 (multiplicity 4)
Ge  0.000  0.500  0.500 (multiplicity 2)

***

Quick one: least stable of them? model Q